Here is an optimized crystal structure of AlNi2Hg from Alexandria. Energies are from GGA-PBE.

Crystal system: tetragonal
E_form, meV per atom: -234.1
Energy above the lowest structure with this stoichiometry, eV per atom: 0.000
Total magnetization, μB per atom: 0.000
DOS(E_F), states/eV/cell: 2.20

Cell: 2.9190 2.9190 6.5567 Å, 90.00 90.00 90.00°
Closest atoms and distances in Å follow each position.
Space group P4/mmm (No. 123)
Unique sites:
Al 0.0000 0.0000 0.0000 x1  8 Ni 2.47
Ni 0.5000 0.5000 0.2082 x2  4 Al 2.47, 1 Ni 2.73
Hg 0.0000 0.0000 0.5000 x1  8 Ni 2.81, 4 Hg 2.92

Here is an optimized crystal structure of Al2NiHg from Alexandria. Energies are from GGA-PBE.

Crystal system: orthorhombic
E_form, meV per atom: 22.7
Total magnetization, μB per atom: 0.000
DOS(E_F), states/eV/cell: 2.43

Cell: 5.4837 6.0938 3.7765 Å, 90.00 90.00 90.00°
Closest atoms and distances in Å follow each position.
Space group Cmmm (No. 65)
Unique sites:
Al 0.2500 0.2500 0.0000 x4  4 Al 2.74-3.05, 4 Hg 2.79, 4 Ni 2.79
Ni 0.0000 0.0000 0.5000 x2  4 Hg 2.74-3.05, 8 Al 2.79
Hg 0.0000 0.5000 0.5000 x2  4 Ni 2.74-3.05, 8 Al 2.79

Here is an optimized crystal structure of Al2NiHg from Alexandria. Energies are from GGA-PBE.

Crystal system: monoclinic
E_form, meV per atom: -196.3
Total magnetization, μB per atom: 0.000
DOS(E_F), states/eV/cell: 1.74

Cell: 3.0414 2.9258 7.3612 Å, 90.00 100.67 90.00°
Closest atoms and distances in Å follow each position.
Space group P2/m (No. 10)
Unique sites:
Al 0.0814 0.0000 0.1882 x2  4 Ni 2.51-2.52, 1 Al 2.72
Ni 0.5000 0.5000 0.0000 x1  8 Al 2.51-2.52
Hg 0.5000 0.5000 0.5000 x1  4 Al 2.82, 4 Hg 2.93-3.04

Here is an optimized crystal structure of AlNi2Hg from Alexandria. Energies are from GGA-PBE.

Crystal system: tetragonal
E_form, meV per atom: -38.6
Energy above the lowest structure with this stoichiometry, eV per atom: 0.195
Total magnetization, μB per atom: 0.000
DOS(E_F), states/eV/cell: 2.85

Cell: 3.0336 3.0336 6.3014 Å, 90.00 90.00 90.00°
Closest atoms and distances in Å follow each position.
Space group P4mm (No. 99)
Unique sites:
Al 0.0000 0.0000 0.0000 x1  5 Ni 2.42-2.50
Ni 0.0000 0.0000 0.6038 x1  1 Al 2.50, 4 Ni 2.55, 4 Hg 2.72
Ni 0.5000 0.5000 0.8213 x1  4 Al 2.42, 4 Ni 2.55
Hg 0.5000 0.5000 0.3381 x1  5 Ni 2.72-3.04, 4 Al 3.02, 4 Hg 3.03

Here is an optimized crystal structure of AlNi3Hg from Alexandria. Energies are from GGA-PBE.

Crystal system: cubic
E_form, meV per atom: 561.4
Energy above the lowest structure with this stoichiometry, eV per atom: 0.000
Total magnetization, μB per atom: 0.000
DOS(E_F), states/eV/cell: 3.97

Cell: 4.3144 4.3144 4.3144 Å, 90.00 90.00 90.00°
Closest atoms and distances in Å follow each position.
Space group Pm-3m (No. 221)
Unique sites:
Al 0.0000 0.0000 0.0000 x1  6 Ni 2.16
Ni 0.0000 0.0000 0.5000 x3  2 Al 2.16
Hg 0.5000 0.5000 0.5000 x1  12 Ni 3.05

Here is an optimized crystal structure of Al2Ni2Hg from Alexandria. Energies are from GGA-PBE.

Crystal system: tetragonal
E_form, meV per atom: -24.0
Energy above the lowest structure with this stoichiometry, eV per atom: 0.297
Total magnetization, μB per atom: 0.000
DOS(E_F), states/eV/cell: 4.39

Cell: 3.6877 3.6877 11.7447 Å, 90.00 90.00 90.00°
Closest atoms and distances in Å follow each position.
Space group I4/mmm (No. 139)
Unique sites:
Al 0.0000 0.0000 0.1184 x4  4 Ni 2.41
Ni 0.0000 0.5000 0.2500 x4  4 Al 2.41, 4 Ni 2.61
Hg 0.0000 0.0000 0.5000 x2  8 Al 2.96

Here is an optimized crystal structure of AlNi2Hg from Alexandria. Energies are from GGA-PBE.

Crystal system: trigonal
E_form, meV per atom: -49.0
Energy above the lowest structure with this stoichiometry, eV per atom: 0.185
Total magnetization, μB per atom: 0.000
DOS(E_F), states/eV/cell: 8.97

Cell: 2.8715 2.8715 24.5663 Å, 90.00 90.00 120.00°
Closest atoms and distances in Å follow each position.
Space group R-3m (No. 166, hexagonal axes)
Unique sites:
Al 0.0000 0.0000 0.0000 x3  6 Ni 2.46
Ni 0.0000 0.0000 0.2594 x6  3 Al 2.46
Hg 0.0000 0.0000 0.5000 x3  6 Ni 2.82, 6 Hg 2.87

Here is an optimized crystal structure of Al2NiHg from Alexandria. Energies are from GGA-PBE.

Crystal system: monoclinic
E_form, meV per atom: -43.4
Total magnetization, μB per atom: 0.000
DOS(E_F), states/eV/cell: 1.62

Cell: 8.4963 3.0363 5.1012 Å, 90.00 101.12 90.00°
Closest atoms and distances in Å follow each position.
Space group C2/m (No. 12)
Unique sites:
Al 0.2328 0.0000 0.2076 x4  3 Ni 2.56-2.68, 2 Al 2.67, 1 Hg 2.70
Ni 0.0000 0.5000 0.0000 x2  6 Al 2.56-2.68
Hg 0.0000 0.0000 0.5000 x2  6 Al 2.70-2.89, 4 Ni 2.97